The following is a DFT calculation (PBE with a Hubbard U) of a relaxed MnGaF2 crystal.

Cell: 5.7580 5.7580 10.1207 Å, 90.00 90.00 90.00°
With the nearest neighbours (Å) after each atom.
Space group I-42d (No. 122)
Unique sites:
Mn 0.0000 0.0000 0.0000  4 F 2.04
Ga 0.0000 0.0000 0.5000  4 F 2.91
F 0.1205 0.2500 0.1250  2 Mn 2.04

Calculated values
Total magnetic moment = 1.1941 μB/atom
Relative energy among the computed polymorphs = 0.97 eV per formula unit
Volume = 20.972 A^3/atom